A relaxed structure of ZrCr3Ag. Source: the Alexandria database, functional GGA-PBE.

Results
Mass density   5.24 g/cm³
Space-group type   Pm-3m, No. 221
ΔH_f (0 K)   34.9 kcal/mol of atoms

abc: 4.827 4.827 4.827
angles: 90.00 90.00 90.00
Element x y z (fractional)
Zr1 0.000 0.000 0.000
Cr1 0.000 0.500 0.500
Cr2 0.500 0.000 0.500
Cr3 0.500 0.500 0.000
Ag1 0.500 0.500 0.500